Computed, not measured: Cs2NiHSe2 after structural relaxation at the PBE-GGA level of DFT. Values from VASP.

Properties
Uncorrected energy = -0.12467 hartree per atom
D(E_F) = 7.036 states/eV/f.u.

Quantum ESPRESSO input file:
```
&SYSTEM
  ibrav = 0, nat = 12, ntyp = 4
/
ATOMIC_SPECIES
Cs 132.91 Cs.upf
Se 78.96 Se.upf
H 1.01 H.upf
Ni 58.69 Ni.upf
CELL_PARAMETERS angstrom
7.2692 0.0000 0.0000
0.0000 9.9849 0.0000
-3.6346 -4.9924 6.3298
ATOMIC_POSITIONS crystal
Cs 0.1147 0.2879 0.2295
Cs 0.3853 0.0584 0.7705
Cs 0.6147 0.9416 0.2295
Cs 0.8853 0.7121 0.7705
Se 0.3948 0.4458 0.7896
Se 0.1052 0.6562 0.2104
Se 0.8948 0.3438 0.7896
Se 0.6052 0.5542 0.2104
H 0.2500 0.0000 0.0000
H 0.7500 0.0000 0.0000
Ni 0.2500 0.5000 0.0000
Ni 0.7500 0.5000 0.0000
```